Entry 1:
This record from Alexandria describes a relaxed Pa2PtSe crystal. The functional is GGA-PBE.

Cell and atoms, written as extended XYZ:
```
4
Lattice="-2.126 -1.844 1.847 2.608 -1.396 1.608 -0.259 5.513 5.206" Properties=species:S:1:pos:R:3 pbc="T T T"
Pa -0.195 4.146 3.915
Pa -0.064 1.368 1.291
Se 0.111 1.137 4.331
Pt 0.241 -1.620 1.727
```

Values from the calculation:
As for the space group: P4/mmm, No. 123. As for the magnetic moment: 0.0 μB/f.u. As for the polymorph energy (0 for the lowest one): 0 meV per atom.


Entry 2:
This record from Alexandria describes a relaxed Pa2PtSe crystal. The functional is GGA-PBE.

Cell and atoms, written as extended XYZ:
```
4
Lattice="-0.543 2.102 3.020 -2.706 -0.860 2.402 4.009 -4.158 5.906" Properties=species:S:1:pos:R:3 pbc="T T T"
Pa 2.799 -3.071 4.932
Pa 0.137 -0.681 2.789
Pt -2.166 0.828 3.615
Se 0.371 -1.450 5.657
```

Values from the calculation:
As for the space group: R3m, No. 160. As for the magnetic moment: 0.5 μB/f.u. As for the polymorph energy (0 for the lowest one): 7 meV per atom.


Entry 3:
This record from Alexandria describes a relaxed Pa2PtSe crystal. The functional is GGA-PBE.

Cell and atoms, written as extended XYZ:
```
4
Lattice="-2.033 0.506 -2.588 0.212 -1.951 -2.690 -7.105 -6.580 2.153" Properties=species:S:1:pos:R:3 pbc="T T T"
Pa -5.320 -4.905 1.078
Pa -3.607 -3.121 -4.203
Se -4.463 -4.013 -1.562
Pt 0.000 0.000 0.000
```

Values from the calculation:
As for the space group: R-3m, No. 166. As for the magnetic moment: 0.0 μB/f.u. As for the polymorph energy (0 for the lowest one): 619 meV per atom.


Entry 4:
This record from Alexandria describes a relaxed Pa5PtSe4 crystal. The functional is GGA-PBE.

Cell and atoms, written as extended XYZ:
```
10
Lattice="-3.144 -2.279 -4.241 -5.680 -3.591 2.243 -5.110 4.276 -2.408" Properties=species:S:1:pos:R:3 pbc="T T T"
Pa -9.196 -0.015 -4.877
Pa -8.606 -0.981 -0.896
Pa -5.334 -0.618 -3.518
Pa -4.744 -1.584 0.463
Pa -1.576 -1.142 -2.125
Pt -0.004 -0.003 -0.005
Se -7.603 1.040 -2.727
Se -10.105 -2.122 -3.071
Se -3.835 0.523 -1.344
Se -6.337 -2.639 -1.687
```

Values from the calculation:
As for the space group: I4/m, No. 87. As for the magnetic moment: 0.0 μB/f.u.


Entry 5:
This record from Alexandria describes a relaxed Pa4Te2PtSe crystal. The functional is GGA-PBE.

Cell and atoms, written as extended XYZ:
```
8
Lattice="4.096 0.000 0.000 0.000 7.302 0.165 0.000 -2.518 7.088" Properties=species:S:1:pos:R:3 pbc="T T T"
Pa 2.048 1.199 1.597
Pa 2.048 3.585 5.656
Pa 0.000 -0.042 5.631
Pa 0.000 4.827 1.622
Te 2.048 -1.259 3.544
Te 0.000 2.392 3.627
Pt 2.048 3.651 0.083
Se 0.000 0.000 0.000
```

Values from the calculation:
As for the space group: P2/m, No. 10. As for the magnetic moment: 1.2 μB/f.u.


Entry 6:
This record from Alexandria describes a relaxed Pa2SiPt crystal. The functional is GGA-PBE.

Cell and atoms, written as extended XYZ:
```
4
Lattice="-2.653 -2.860 2.468 1.410 -4.316 0.830 1.735 -0.917 5.119" Properties=species:S:1:pos:R:3 pbc="T T T"
Si 0.246 -4.046 4.209
Pa 0.354 -6.080 6.285
Pa 0.138 -2.013 2.133
Pt 0.000 0.000 0.000
```

Values from the calculation:
As for the space group: R-3m, No. 166. As for the magnetic moment: 0.1 μB/f.u.


| no. | ΔE_f (raw) (eV per atom) |
| --- | --- |
| 1 | -0.91 |
| 2 | -0.90 |
| 3 | -0.29 |
| 4 | -1.13 |
| 5 | -0.85 |
| 6 | -0.44 |